Computed, not measured: crystalline As5Ir at its relaxed geometry at the GGA-PBE level of DFT.

Geometry as CIF:
```
data_As5Ir
_cell_length_a 2.982
_cell_length_b 2.982
_cell_length_c 12.525
_cell_angle_alpha 90.00
_cell_angle_beta 90.00
_cell_angle_gamma 90.00
_symmetry_space_group_name_H-M 'P 4/m m m'
_symmetry_Int_Tables_number 123
_symmetry_space_group_name_Hall '-P 4 2'
loop_
_atom_site_label
_atom_site_fract_x
_atom_site_fract_y
_atom_site_fract_z
As1 0.000 0.000 0.000
As2 0.000 0.000 0.367
As3 0.500 0.500 0.168
Ir1 0.500 0.500 0.500
```

Summary:
As for the formation energy: 296 meV per atom. The volume is 18.56 A^3/atom. The relative energy among the computed polymorphs is 0.283 eV/atom.

Computed, not measured: crystalline As3Ir at its relaxed geometry at the GGA-PBE level of DFT.

Geometry as CIF:
```
data_As3Ir
_cell_length_a 5.971
_cell_length_b 10.097
_cell_length_c 5.967
_cell_angle_alpha 90.00
_cell_angle_beta 90.00
_cell_angle_gamma 90.00
_symmetry_space_group_name_H-M 'P n m a'
_symmetry_Int_Tables_number 62
_symmetry_space_group_name_Hall '-P 2ac 2n'
loop_
_atom_site_label
_atom_site_fract_x
_atom_site_fract_y
_atom_site_fract_z
As1 0.007 0.250 0.132
As2 0.242 0.126 0.633
Ir1 0.112 0.750 0.477
```

Summary:
As for the formation energy: -99 meV per atom. The volume is 22.48 A^3/atom. The relative energy among the computed polymorphs is 0.329 eV/atom.

Computed, not measured: crystalline AsIr at its relaxed geometry at the GGA-PBE level of DFT.

Geometry as CIF:
```
data_AsIr
_cell_length_a 7.202
_cell_length_b 8.785
_cell_length_c 11.997
_cell_angle_alpha 90.00
_cell_angle_beta 90.00
_cell_angle_gamma 90.00
_symmetry_space_group_name_H-M 'F d d d'
_symmetry_Int_Tables_number 70
loop_
_symmetry_equiv_pos_as_xyz
'x,y,z'
'-x,-y,-z'
'-x+1/4,-y+1/4,z'
'x+1/4,y+1/4,-z'
'x,-y+1/4,-z+1/4'
'-x,y+1/4,z+1/4'
'-x+1/4,y,-z+1/4'
'x+1/4,-y,z+1/4'
'x,y+1/2,z+1/2'
'-x,-y+1/2,-z+1/2'
'-x+1/4,-y+3/4,z+1/2'
'x+1/4,y+3/4,-z+1/2'
'x,-y+3/4,-z+3/4'
'-x,y+3/4,z+3/4'
'-x+1/4,y+1/2,-z+3/4'
'x+1/4,-y+1/2,z+3/4'
'x+1/2,y,z+1/2'
'-x+1/2,-y,-z+1/2'
'-x+3/4,-y+1/4,z+1/2'
'x+3/4,y+1/4,-z+1/2'
'x+1/2,-y+1/4,-z+3/4'
'-x+1/2,y+1/4,z+3/4'
'-x+3/4,y,-z+3/4'
'x+3/4,-y,z+3/4'
'x+1/2,y+1/2,z'
'-x+1/2,-y+1/2,-z'
'-x+3/4,-y+3/4,z'
'x+3/4,y+3/4,-z'
'x+1/2,-y+3/4,-z+1/4'
'-x+1/2,y+3/4,z+1/4'
'-x+3/4,y+1/2,-z+1/4'
'x+3/4,-y+1/2,z+1/4'
loop_
_atom_site_label
_atom_site_fract_x
_atom_site_fract_y
_atom_site_fract_z
As1 0.125 0.350 0.125
Ir1 0.125 0.125 0.005
```

Summary:
As for the formation energy: -31 meV per atom. The volume is 23.72 A^3/atom.

Computed, not measured: crystalline As3Ir4 at its relaxed geometry at the GGA-PBE level of DFT.

Geometry as CIF:
```
data_As3Ir4
_cell_length_a 2.931
_cell_length_b 2.931
_cell_length_c 27.258
_cell_angle_alpha 90.00
_cell_angle_beta 90.00
_cell_angle_gamma 90.00
_symmetry_space_group_name_H-M 'I 4/m m m'
_symmetry_Int_Tables_number 139
_symmetry_space_group_name_Hall '-I 4 2'
loop_
_atom_site_label
_atom_site_fract_x
_atom_site_fract_y
_atom_site_fract_z
As1 0.000 0.000 0.000
As2 0.000 0.000 0.311
Ir1 0.000 0.000 0.135
Ir2 0.000 0.000 0.441
```

Summary:
As for the formation energy: 102 meV per atom. The volume is 16.73 A^3/atom.

Computed, not measured: crystalline AsIr at its relaxed geometry at the GGA-PBE level of DFT.

Geometry as CIF:
```
data_AsIr
_cell_length_a 6.637
_cell_length_b 6.973
_cell_length_c 8.217
_cell_angle_alpha 90.00
_cell_angle_beta 90.00
_cell_angle_gamma 90.00
_symmetry_space_group_name_H-M 'P 21 21 21'
_symmetry_Int_Tables_number 19
_symmetry_space_group_name_Hall 'P 2ac 2ab'
loop_
_atom_site_label
_atom_site_fract_x
_atom_site_fract_y
_atom_site_fract_z
As1 0.187 0.062 0.283
As2 0.212 0.420 0.926
Ir1 0.133 0.395 0.221
Ir2 0.144 0.876 0.529
```

Summary:
As for the formation energy: 84 meV per atom. The volume is 23.77 A^3/atom.

Computed, not measured: crystalline As3Ir at its relaxed geometry at the GGA-PBE level of DFT.

Geometry as CIF:
```
data_As3Ir
_cell_length_a 7.312
_cell_length_b 8.471
_cell_length_c 5.254
_cell_angle_alpha 90.00
_cell_angle_beta 90.00
_cell_angle_gamma 90.00
_symmetry_space_group_name_H-M 'C m c m'
_symmetry_Int_Tables_number 63
_symmetry_space_group_name_Hall '-C 2c 2'
loop_
_atom_site_label
_atom_site_fract_x
_atom_site_fract_y
_atom_site_fract_z
As1 0.000 0.025 0.250
As2 0.243 0.282 0.750
Ir1 0.000 0.469 0.750
```

Summary:
As for the formation energy: 208 meV per atom. The volume is 20.34 A^3/atom. The relative energy among the computed polymorphs is 0.636 eV/atom.

Computed, not measured: crystalline AsIr5 at its relaxed geometry at the GGA-PBE level of DFT.

Geometry as CIF:
```
data_AsIr5
_cell_length_a 4.449
_cell_length_b 2.798
_cell_length_c 14.356
_cell_angle_alpha 90.00
_cell_angle_beta 90.00
_cell_angle_gamma 90.00
_symmetry_space_group_name_H-M 'A m m 2'
_symmetry_Int_Tables_number 38
_symmetry_space_group_name_Hall 'A 2 -2'
loop_
_atom_site_label
_atom_site_fract_x
_atom_site_fract_y
_atom_site_fract_z
As1 0.000 0.000 0.000
Ir1 0.000 0.000 0.333
Ir2 0.000 0.000 0.669
Ir3 0.500 0.000 0.217
Ir4 0.500 0.000 0.553
Ir5 0.500 0.000 0.883
```

Summary:
As for the formation energy: 208 meV per atom. The volume is 14.89 A^3/atom.

Computed, not measured: crystalline AsIr at its relaxed geometry at the GGA-PBE level of DFT.

Geometry as CIF:
```
data_AsIr
_cell_length_a 5.521
_cell_length_b 5.521
_cell_length_c 5.521
_cell_angle_alpha 90.00
_cell_angle_beta 90.00
_cell_angle_gamma 90.00
_symmetry_space_group_name_H-M 'F -4 3 m'
_symmetry_Int_Tables_number 216
_symmetry_space_group_name_Hall 'F -4 2 3'
loop_
_atom_site_label
_atom_site_fract_x
_atom_site_fract_y
_atom_site_fract_z
As1 0.000 0.000 0.000
Ir1 0.250 0.250 0.750
```

Summary:
As for the formation energy: 6 meV per atom. The volume is 21.04 A^3/atom.

Computed, not measured: crystalline As5Ir at its relaxed geometry at the GGA-PBE level of DFT.

Geometry as CIF:
```
data_As5Ir
_cell_length_a 12.280
_cell_length_b 3.554
_cell_length_c 6.716
_cell_angle_alpha 90.00
_cell_angle_beta 107.69
_cell_angle_gamma 90.00
_symmetry_space_group_name_H-M 'C 1 m 1'
_symmetry_Int_Tables_number 8
_symmetry_space_group_name_Hall 'C -2y'
loop_
_atom_site_label
_atom_site_fract_x
_atom_site_fract_y
_atom_site_fract_z
As1 0.000 0.000 0.000
As2 0.030 0.000 0.637
As3 0.139 0.500 0.303
As4 0.242 0.000 0.752
As5 0.277 0.000 0.153
Ir1 0.138 0.500 0.930
```

Summary:
As for the formation energy: 83 meV per atom. The volume is 23.27 A^3/atom. The relative energy among the computed polymorphs is 0.070 eV/atom.

Computed, not measured: crystalline AsIr at its relaxed geometry at the GGA-PBE level of DFT.

Geometry as CIF:
```
data_AsIr
_cell_length_a 2.958
_cell_length_b 2.958
_cell_length_c 8.237
_cell_angle_alpha 90.00
_cell_angle_beta 90.00
_cell_angle_gamma 90.00
_symmetry_space_group_name_H-M 'P 4/n m m'
_symmetry_Int_Tables_number 129
loop_
_symmetry_equiv_pos_as_xyz
'x,y,z'
'-x,-y,-z'
'-y+1/2,x,z'
'y+1/2,-x,-z'
'-x+1/2,-y+1/2,z'
'x+1/2,y+1/2,-z'
'y,-x+1/2,z'
'-y,x+1/2,-z'
'x+1/2,-y,-z'
'-x+1/2,y,z'
'-y,-x,-z'
'y,x,z'
'-x,y+1/2,-z'
'x,-y+1/2,z'
'y+1/2,x+1/2,-z'
'-y+1/2,-x+1/2,z'
loop_
_atom_site_label
_atom_site_fract_x
_atom_site_fract_y
_atom_site_fract_z
As1 0.250 0.250 0.196
Ir1 0.250 0.250 0.627
```

Summary:
As for the formation energy: -11 meV per atom. The volume is 18.02 A^3/atom.

Computed, not measured: crystalline AsIr at its relaxed geometry at the GGA-PBE level of DFT.

Geometry as CIF:
```
data_AsIr
_cell_length_a 7.455
_cell_length_b 7.455
_cell_length_c 7.455
_cell_angle_alpha 90.00
_cell_angle_beta 90.00
_cell_angle_gamma 90.00
_symmetry_space_group_name_H-M 'I -4 3 m'
_symmetry_Int_Tables_number 217
_symmetry_space_group_name_Hall 'I -4 2 3'
loop_
_atom_site_label
_atom_site_fract_x
_atom_site_fract_y
_atom_site_fract_z
As1 0.185 0.185 0.185
Ir1 0.135 0.135 0.865
```

Summary:
As for the formation energy: 12 meV per atom. The volume is 25.90 A^3/atom.

Computed, not measured: crystalline AsIr at its relaxed geometry at the GGA-PBE level of DFT.

Geometry as CIF:
```
data_AsIr
_cell_length_a 3.977
_cell_length_b 3.977
_cell_length_c 5.777
_cell_angle_alpha 90.00
_cell_angle_beta 90.00
_cell_angle_gamma 90.00
_symmetry_space_group_name_H-M 'P 4/n m m'
_symmetry_Int_Tables_number 129
loop_
_symmetry_equiv_pos_as_xyz
'x,y,z'
'-x,-y,-z'
'-y+1/2,x,z'
'y+1/2,-x,-z'
'-x+1/2,-y+1/2,z'
'x+1/2,y+1/2,-z'
'y,-x+1/2,z'
'-y,x+1/2,-z'
'x+1/2,-y,-z'
'-x+1/2,y,z'
'-y,-x,-z'
'y,x,z'
'-x,y+1/2,-z'
'x,-y+1/2,z'
'y+1/2,x+1/2,-z'
'-y+1/2,-x+1/2,z'
loop_
_atom_site_label
_atom_site_fract_x
_atom_site_fract_y
_atom_site_fract_z
As1 0.250 0.250 0.248
Ir1 0.250 0.750 0.500
```

Summary:
As for the formation energy: -221 meV per atom. The volume is 22.85 A^3/atom.

Computed, not measured: crystalline AsIr at its relaxed geometry at the GGA-PBE level of DFT.

Geometry as CIF:
```
data_AsIr
_cell_length_a 8.298
_cell_length_b 3.030
_cell_length_c 5.818
_cell_angle_alpha 90.00
_cell_angle_beta 110.20
_cell_angle_gamma 90.00
_symmetry_space_group_name_H-M 'C 1 m 1'
_symmetry_Int_Tables_number 8
_symmetry_space_group_name_Hall 'C -2y'
loop_
_atom_site_label
_atom_site_fract_x
_atom_site_fract_y
_atom_site_fract_z
As1 0.000 0.000 0.000
As2 0.074 0.500 0.526
Ir1 0.247 0.000 0.368
Ir2 0.251 0.000 0.877
```

Summary:
As for the formation energy: -133 meV per atom. The volume is 17.16 A^3/atom.

Computed, not measured: crystalline AsIr at its relaxed geometry at the GGA-PBE level of DFT.

Geometry as CIF:
```
data_AsIr
_cell_length_a 2.9953
_cell_length_b 2.9953
_cell_length_c 9.6252
_cell_angle_alpha 90.00
_cell_angle_beta 90.00
_cell_angle_gamma 120.00
_symmetry_space_group_name_H-M 'P -3 m 1'
_symmetry_Int_Tables_number 164
_symmetry_space_group_name_Hall '-P 3 2"'
loop_
_atom_site_label
_atom_site_fract_x
_atom_site_fract_y
_atom_site_fract_z
As1 0.3333 0.6667 0.1954
Ir1 0.3333 0.6667 0.6172
```

Summary:
As for the formation energy: 117 meV per atom. The volume is 18.70 A^3/atom.

Computed, not measured: crystalline AsIr5 at its relaxed geometry at the GGA-PBE level of DFT.

Geometry as CIF:
```
data_AsIr5
_cell_length_a 5.1559
_cell_length_b 5.1559
_cell_length_c 4.4478
_cell_angle_alpha 90.00
_cell_angle_beta 90.00
_cell_angle_gamma 120.00
_symmetry_space_group_name_H-M 'P 6/m m m'
_symmetry_Int_Tables_number 191
_symmetry_space_group_name_Hall '-P 6 2'
loop_
_atom_site_label
_atom_site_fract_x
_atom_site_fract_y
_atom_site_fract_z
As1 0.0000 0.0000 0.0000
Ir1 0.0000 0.5000 0.5000
Ir2 0.3333 0.6667 0.0000
```

Summary:
As for the formation energy: 642 meV per atom. The volume is 17.07 A^3/atom.

Computed, not measured: crystalline As3Ir at its relaxed geometry at the GGA-PBE level of DFT.

Geometry as CIF:
```
data_As3Ir
_cell_length_a 4.902
_cell_length_b 4.902
_cell_length_c 4.902
_cell_angle_alpha 90.00
_cell_angle_beta 90.00
_cell_angle_gamma 90.00
_symmetry_space_group_name_H-M 'P m -3 m'
_symmetry_Int_Tables_number 221
_symmetry_space_group_name_Hall '-P 4 2 3'
loop_
_atom_site_label
_atom_site_fract_x
_atom_site_fract_y
_atom_site_fract_z
As1 0.000 0.000 0.500
Ir1 0.000 0.000 0.000
```

Summary:
As for the formation energy: 889 meV per atom. The volume is 29.45 A^3/atom. The relative energy among the computed polymorphs is 1.317 eV/atom.

Computed, not measured: crystalline As3Ir at its relaxed geometry at the GGA-PBE level of DFT.

Geometry as CIF:
```
data_As3Ir
_cell_length_a 4.756
_cell_length_b 8.415
_cell_length_c 3.942
_cell_angle_alpha 90.00
_cell_angle_beta 90.00
_cell_angle_gamma 90.00
_symmetry_space_group_name_H-M 'C m m m'
_symmetry_Int_Tables_number 65
_symmetry_space_group_name_Hall '-C 2 2'
loop_
_atom_site_label
_atom_site_fract_x
_atom_site_fract_y
_atom_site_fract_z
As1 0.000 0.000 0.000
As2 0.000 0.310 0.500
Ir1 0.000 0.500 0.000
```

Summary:
As for the formation energy: -26 meV per atom. The volume is 19.72 A^3/atom. The relative energy among the computed polymorphs is 0.402 eV/atom.

Computed, not measured: crystalline As3Ir at its relaxed geometry at the GGA-PBE level of DFT.

Geometry as CIF:
```
data_As3Ir
_cell_length_a 3.021
_cell_length_b 4.495
_cell_length_c 11.027
_cell_angle_alpha 90.00
_cell_angle_beta 90.00
_cell_angle_gamma 90.00
_symmetry_space_group_name_H-M 'I m m m'
_symmetry_Int_Tables_number 71
_symmetry_space_group_name_Hall '-I 2 2'
loop_
_atom_site_label
_atom_site_fract_x
_atom_site_fract_y
_atom_site_fract_z
As1 0.000 0.000 0.000
As2 0.000 0.500 0.191
Ir1 0.000 0.000 0.500
```

Summary:
As for the formation energy: 208 meV per atom. The volume is 18.72 A^3/atom. The relative energy among the computed polymorphs is 0.636 eV/atom.

Computed, not measured: crystalline AsIr at its relaxed geometry at the GGA-PBE level of DFT.

Geometry as CIF:
```
data_AsIr
_cell_length_a 9.1682
_cell_length_b 9.1682
_cell_length_c 3.9574
_cell_angle_alpha 90.00
_cell_angle_beta 90.00
_cell_angle_gamma 120.00
_symmetry_space_group_name_H-M 'P 63/m'
_symmetry_Int_Tables_number 176
_symmetry_space_group_name_Hall '-P 6c'
loop_
_atom_site_label
_atom_site_fract_x
_atom_site_fract_y
_atom_site_fract_z
As1 0.0911 0.3742 0.2500
Ir1 0.0556 0.6258 0.2500
```

Summary:
As for the formation energy: -24 meV per atom. The volume is 24.01 A^3/atom.

Computed, not measured: crystalline As3Ir at its relaxed geometry at the GGA-PBE level of DFT.

Geometry as CIF:
```
data_As3Ir
_cell_length_a 4.764
_cell_length_b 4.764
_cell_length_c 2.997
_cell_angle_alpha 90.00
_cell_angle_beta 90.00
_cell_angle_gamma 90.00
_symmetry_space_group_name_H-M 'P 4/m m m'
_symmetry_Int_Tables_number 123
_symmetry_space_group_name_Hall '-P 4 2'
loop_
_atom_site_label
_atom_site_fract_x
_atom_site_fract_y
_atom_site_fract_z
As1 0.000 0.000 0.000
As2 0.000 0.500 0.500
Ir1 0.500 0.500 0.000
```

Summary:
As for the formation energy: 415 meV per atom. The volume is 17.00 A^3/atom. The relative energy among the computed polymorphs is 0.843 eV/atom.

| no. | total energy (eV/atom) |
| --- | --- |
| 1 | -5.056 |
| 2 | -5.802 |
| 3 | -6.786 |
| 4 | -6.954 |
| 5 | -6.671 |
| 6 | -5.495 |
| 7 | -7.951 |
| 8 | -6.749 |
| 9 | -5.269 |
| 10 | -6.766 |
| 11 | -6.743 |
| 12 | -6.977 |
| 13 | -6.889 |
| 14 | -6.639 |
| 15 | -7.517 |
| 16 | -4.813 |
| 17 | -5.728 |
| 18 | -5.495 |
| 19 | -6.780 |
| 20 | -5.288 |